AgSn3Pb2Se6 GGA-PBE optimized geometry; raw formation energy = -0.40 eV/atom; crystal system = monoclinic; VASP energy = -3.9965 eV per atom; magnetization = 0.00 μB per formula unit
1.0
9.2859 -2.1230 0.0000
9.2859 2.1230 0.0000
-2.0301 0.0000 8.2623
Ag Sn Pb Se
1 3 2 6
direct
0.0000 0.0000 0.0000
0.0000 0.0000 0.5000
0.3340 0.3340 0.1646
0.6660 0.6660 0.8354
0.3379 0.3379 0.6725
0.6621 0.6621 0.3275
0.1617 0.1617 0.0721
0.1649 0.1649 0.5870
0.4958 0.4958 0.2441
0.5042 0.5042 0.7559
0.8351 0.8351 0.4130
0.8383 0.8383 0.9279